BaFeCuSe3 (PBE, relaxed); magnetization = 4.2 μB/f.u.; final energy = -4.7680 eV/atom; SG = No. 63; crystal system = orthorhombic
1.0
1.9973 -7.0379 0.0000
1.9973 7.0379 0.0000
0.0000 0.0000 9.8639
Ba Fe Cu Se
2 2 2 6
Direct
0.2453 0.7547 0.7500
0.7547 0.2453 0.2500
0.0000 0.0000 0.0000
0.0000 0.0000 0.5000
0.4662 0.5338 0.2500
0.5338 0.4662 0.7500
0.0645 0.9355 0.2500
0.3761 0.6239 0.0423
0.3761 0.6239 0.4577
0.6239 0.3761 0.5423
0.6239 0.3761 0.9577
0.9355 0.0645 0.7500